Entry from OQMD via LeMat-Bulk: an optimized crystal structure of DyTmU (PBE).

**Relative energy among the computed polymorphs**: 0 meV per atom
**Energy**: -16.6 eV for the cell shown
**Energy of formation from the pure elements**: 1.268 eV per atom

Geometry as POSCAR:
```
DyTmU
1.0
0.000 3.718 3.718
3.718 0.000 3.718
3.718 3.718 0.000
Dy Tm U
1 1 1
Cartesian
1.859 1.859 1.859 Dy
0.000 0.000 0.000 Tm
5.577 5.577 5.577 U
```

Entry from OQMD via LeMat-Bulk: an optimized crystal structure of Ba2TcH6Pd (PBE).

**Relative energy among the computed polymorphs**: 9 meV per atom
**Energy**: -84.8 eV for the cell shown

Geometry as POSCAR:
```
Ba2TcH6Pd
1.0
-3.687 -4.463 -0.180
4.468 -3.680 -0.277
3.815 4.046 7.801
Ba H Pd Tc
4 12 2 2
Cartesian
-1.811 -2.336 1.815 Ba
2.266 -1.944 1.767 Ba
2.331 -2.153 5.577 Ba
1.940 1.919 5.806 Ba
0.216 -2.225 -0.123 H
2.240 -3.897 -0.248 H
0.033 -0.102 1.898 H
0.422 -4.178 1.685 H
0.244 -2.055 3.705 H
2.683 -4.069 3.554 H
1.913 -0.028 3.790 H
4.352 -2.042 3.640 H
4.175 0.081 5.660 H
0.095 -0.315 5.723 H
2.356 -0.200 7.592 H
4.380 -1.872 7.467 H
0.000 0.000 0.000 Pd
4.142 0.183 3.762 Pd
0.391 -4.071 -0.228 Tc
0.064 -0.209 3.810 Tc
```